Record 1
Here is crystalline Hf2Sc4Ga3C3 at its relaxed geometry from OQMD. Energies are from PBE.

Results
space-group type: C2/c
size of the total moment: 0.00 μB per formula unit
crystal system: monoclinic

Cell: 5.723 5.723 14.727 Å, 101.43 101.43 59.98°
Element x y z (fractional)
C  0.500  0.000  0.000
C  0.823  0.338  0.000
C  0.177  0.662  0.000
C  0.338  0.823  0.500
C  0.000  0.500  0.500
C  0.662  0.177  0.500
Ga  0.286  0.416  0.250
Ga  0.882  0.118  0.250
Ga  0.584  0.714  0.250
Ga  0.416  0.286  0.750
Ga  0.118  0.882  0.750
Ga  0.714  0.584  0.750
Hf  0.528  0.357  0.083
Hf  0.643  0.472  0.417
Hf  0.357  0.528  0.583
Hf  0.472  0.643  0.917
Sc  0.193  0.034  0.090
Sc  0.868  0.696  0.090
Sc  0.304  0.132  0.410
Sc  0.966  0.807  0.410
Sc  0.034  0.193  0.590
Sc  0.696  0.868  0.590
Sc  0.132  0.304  0.910
Sc  0.807  0.966  0.910

Record 2
Here is crystalline Lu4GeSN2 at its relaxed geometry from OQMD. Energies are from PBE.

Results
space-group type: P-6m2
size of the total moment: 0.00 μB per formula unit
crystal system: hexagonal

Cell: 3.454 3.454 13.129 Å, 90.00 90.00 120.00°
Element x y z (fractional)
Ge  0.000  0.000  0.000
Lu  0.667  0.333  0.166
Lu  0.000  0.000  0.360
Lu  0.000  0.000  0.640
Lu  0.667  0.333  0.834
N  0.333  0.667  0.265
N  0.333  0.667  0.735
S  0.667  0.333  0.500

Record 3
Here is crystalline CsAg3SnO4 at its relaxed geometry from OQMD. Energies are from PBE.

Results
space-group type: P-43m
crystal system: cubic

Cell: 5.852 5.852 5.852 Å, 90.00 90.00 90.00°
Element x y z (fractional)
Ag  0.500  0.500  0.000
Ag  0.500  0.000  0.500
Ag  0.000  0.500  0.500
Cs  0.000  0.000  0.000
O  0.302  0.302  0.302
O  0.698  0.698  0.302
O  0.698  0.302  0.698
O  0.302  0.698  0.698
Sn  0.500  0.500  0.500

| no. | final energy (eV per atom) |
| --- | --- |
| 1 | -7.462 |
| 2 | -6.979 |
| 3 | -4.309 |